No. 1
{"formula": "Mg2Zn5Ga3", "functional": "PBE", "state": "optimized geometry", "lattice_angstrom": [[5.468, 0.000, 0.000], [2.734, 8.053, -0.905], [2.734, 0.348, 8.096]], "species": ["Ga", "Ga", "Ga", "Ga", "Ga", "Ga", "Zn", "Zn", "Zn", "Zn", "Zn", "Zn", "Zn", "Zn", "Zn", "Zn", "Mg", "Mg", "Mg", "Mg"], "fractional_positions": [[0.874, 0.773, 0.480], [0.750, 0.000, 0.000], [0.126, 0.227, 0.520], [0.374, 0.480, 0.773], [0.250, 0.000, 0.000], [0.626, 0.520, 0.227], [0.001, 0.249, 0.249], [0.499, 0.751, 0.751], [0.999, 0.751, 0.751], [0.374, 0.273, 0.979], [0.501, 0.249, 0.249], [0.626, 0.727, 0.021], [0.126, 0.021, 0.727], [0.750, 0.500, 0.500], [0.250, 0.500, 0.500], [0.874, 0.979, 0.273], [0.875, 0.379, 0.870], [0.375, 0.870, 0.379], [0.625, 0.130, 0.621], [0.125, 0.621, 0.130]]}

No. 2
{"formula": "Mg3Zn3Ga", "functional": "PBE", "state": "optimized geometry", "lattice_angstrom": [[-1.734, 1.164, -2.559], [-1.395, -4.244, -3.117], [-13.579, -2.073, 6.127]], "species": ["Zn", "Zn", "Zn", "Zn", "Zn", "Zn", "Mg", "Mg", "Mg", "Mg", "Mg", "Mg", "Ga", "Ga"], "fractional_positions": [[0.134, 0.247, 0.486], [0.902, 0.123, 0.073], [0.015, 0.189, 0.781], [0.098, 0.877, 0.927], [0.985, 0.811, 0.219], [0.866, 0.753, 0.514], [0.481, 0.401, 0.637], [0.632, 0.663, 0.073], [0.747, 0.723, 0.784], [0.519, 0.599, 0.363], [0.253, 0.277, 0.216], [0.368, 0.337, 0.927], [0.212, 0.941, 0.635], [0.788, 0.059, 0.365]]}

No. 3
{"formula": "Mg2ZnGa2", "functional": "PBE", "state": "optimized geometry", "lattice_angstrom": [[4.407, 0.000, 0.000], [0.000, 7.730, 0.000], [-2.203, 0.000, 5.854]], "species": ["Mg", "Mg", "Mg", "Mg", "Ga", "Ga", "Ga", "Ga", "Zn", "Zn"], "fractional_positions": [[0.239, 0.827, 0.479], [0.962, 0.705, 0.924], [0.038, 0.205, 0.076], [0.761, 0.327, 0.521], [0.828, 0.991, 0.656], [0.597, 0.976, 0.193], [0.172, 0.491, 0.344], [0.403, 0.476, 0.807], [0.608, 0.636, 0.216], [0.392, 0.136, 0.784]]}

No. 4
{"formula": "Mg3ZnGa", "functional": "PBE", "state": "optimized geometry", "lattice_angstrom": [[4.852, -0.873, 0.166], [-1.239, 7.074, -0.317], [0.345, -0.216, 5.998]], "species": ["Ga", "Ga", "Mg", "Mg", "Mg", "Mg", "Mg", "Mg", "Zn", "Zn"], "fractional_positions": [[0.827, 0.351, 0.457], [0.343, 0.575, 0.913], [0.958, 0.742, 0.734], [0.209, 0.123, 0.397], [0.435, 0.570, 0.419], [0.655, 0.944, 0.158], [0.589, 0.992, 0.679], [0.727, 0.363, 0.991], [0.038, 0.723, 0.238], [0.152, 0.160, 0.892]]}

No. 5
{"formula": "MgZn3Ga", "functional": "PBE", "state": "optimized geometry", "lattice_angstrom": [[4.859, 0.000, 0.000], [0.000, 4.859, 0.000], [0.000, 0.000, 4.859]], "species": ["Zn", "Zn", "Zn", "Ga", "Mg"], "fractional_positions": [[0.500, 0.000, 0.000], [0.000, 0.500, 0.000], [0.000, 0.000, 0.500], [0.000, 0.000, 0.000], [0.500, 0.500, 0.500]]}

No. 6
{"formula": "MgZrZnGa2", "functional": "PBE", "state": "optimized geometry", "lattice_angstrom": [[4.795, 0.000, 0.000], [0.000, 5.297, 0.000], [0.000, 0.000, 4.795]], "species": ["Zn", "Mg", "Ga", "Ga", "Zr"], "fractional_positions": [[0.500, 0.500, 0.500], [0.000, 0.000, 0.000], [0.000, 0.000, 0.500], [0.500, 0.000, 0.000], [0.000, 0.500, 0.000]]}

Calculated density for every record listed, in sequence, given in g/cm3: 5.4, 4.4, 4.2, 3.5, 4.2, 4.4.
Energy of formation from the pure elements for every record listed, in sequence, given in eV/atom: -0.0315, -0.0883, -0.0530, -0.0623, 0.3524, 0.7986.